[1]
CaLa3F: optimized geometry, PBE.

Lattice parameters (Å, degrees): 5.969 5.969 5.969 90.00 90.00 90.00
Sites, in units of the cell vectors:
Ca (0.000, 0.000, 0.000)
La (0.000, 0.000, 0.500)
La (0.000, 0.500, 0.000)
La (0.500, 0.000, 0.000)
F (0.500, 0.500, 0.500)

Values from the calculation:
- Energy relative to the lowest polymorph listed for this composition: 1486 meV/atom
- V: 213 Å³/cell
- DOS at the Fermi energy: 1.604 states/eV per atom
- Formation energy without anion corrections: 2.587 eV/f.u.

=====

[2]
Be2ZnSi: optimized geometry, PBE.

Lattice parameters (Å, degrees): 4.058 4.058 4.058 60.00 60.00 60.00
Sites, in units of the cell vectors:
Be (0.250, 0.250, 0.250)
Be (0.750, 0.750, 0.750)
Zn (0.000, 0.000, 0.000)
Si (0.500, 0.500, 0.500)

Values from the calculation:
- Energy relative to the lowest polymorph listed for this composition: 196 meV/atom
- V: 47 Å³/cell
- DOS at the Fermi energy: 0.292 states/eV per atom
- Formation energy without anion corrections: 1.876 eV/f.u.

=====

no.,theoretical density (g/cm3)
1,3.71
2,3.92